No. 1
The following is a DFT calculation (PBE) of a relaxed NaLiZn2Pt crystal.

a b c (Å): 4.887 4.887 4.776
angles (deg): 90.00 90.00 90.00
Fractional positions:
Na1 0.500 0.500 0.500
Zn1 0.500 0.000 0.000
Pt1 0.000 0.000 0.000
Zn2 0.000 0.500 0.000
Li1 0.000 0.000 0.500

VASP energy = -13.0 eV per cell
D(E_F) = 1.44 states/eV per cell

No. 2
The following is a DFT calculation (PBE) of a relaxed IrOs2O6 crystal.

a b c (Å): 4.351 8.820 8.819
angles (deg): 120.00 90.00 90.00
Fractional positions:
O1 0.751 0.570 0.108
O2 0.266 0.439 0.208
Os1 0.000 0.000 0.349
O3 0.235 0.108 0.227
O4 0.266 0.770 0.561
Os2 0.500 0.000 0.683
O5 0.249 0.108 0.570
O6 0.765 0.892 0.119
Os3 0.500 0.683 0.000
O7 0.734 0.561 0.770
O8 0.249 0.430 0.538
O9 0.249 0.462 0.892
O10 0.765 0.227 0.108
Os4 0.000 0.349 0.000
Ir1 0.495 0.333 0.667
O11 0.734 0.208 0.439
O12 0.734 0.230 0.792
O13 0.765 0.881 0.773
O14 0.751 0.538 0.430
O15 0.235 0.773 0.881
O16 0.751 0.892 0.462
Os5 0.500 0.317 0.317
O17 0.235 0.119 0.892
Os6 0.000 0.651 0.651
Ir2 0.000 0.000 0.000
Ir3 0.505 0.667 0.333
O18 0.266 0.792 0.230

VASP energy = -204.1 eV per cell
ΔE_f (raw) = -74.6 kJ per mole of atoms
D(E_F) = 17.42 states/eV per cell

No. 3
The following is a DFT calculation (PBE) of a relaxed Pm4IrSeS2 crystal.

a b c (Å): 4.068 7.174 7.232
angles (deg): 71.05 90.00 90.00
Fractional positions:
Pm1 0.000 0.743 0.765
Se1 0.000 0.500 0.500
Pm2 0.000 0.257 0.235
Pm3 0.500 0.244 0.763
Ir1 0.500 0.500 0.000
S1 0.000 0.000 0.000
S2 0.500 0.000 0.500
Pm4 0.500 0.756 0.237

VASP energy = -52.5 eV per cell
ΔE_f (raw) = -155.0 kJ per mole of atoms
D(E_F) = 6.17 states/eV per cell

No. 4
The following is a DFT calculation (PBE) of a relaxed NaCr5Te8 crystal.

a b c (Å): 3.991 9.456 10.603
angles (deg): 105.22 100.85 90.00
Site moments in Bohr magnetons follow the coordinates.
Fractional positions:
Cr1 0.707 0.329 0.414  3.05
Te1 0.430 0.842 0.860  -0.16
Cr2 0.004 0.002 0.009  3.09
Te2 0.085 0.814 0.170  -0.18
Te3 0.765 0.847 0.530  -0.15
Cr3 0.659 0.974 0.318  3.13
Te4 0.831 0.509 0.662  -0.17
Te5 0.921 0.186 0.843  -0.16
Cr4 0.346 0.025 0.693  3.17
Te6 0.241 0.153 0.482  -0.15
Na1 0.457 0.493 0.913  0.00
Te7 0.579 0.159 0.157  -0.17
Te8 0.175 0.493 0.350  -0.21
Cr5 0.299 0.674 0.598  3.08

VASP energy = -78.4 eV per cell
ΔE_f (raw) = -26.7 kJ per mole of atoms
D(E_F) = 4.62 states/eV per cell

Question: Which formula does entry 2 have?
Answer: IrOs2O6

Question: Number 1 is which compound?
Answer: NaLiZn2Pt